1.
The following is a DFT calculation (GGA-PBE) of an optimized crystal structure of Lu2AsAu.

Unit cell a=3.9843 b=3.9843 c=20.8514 alpha=90.00 beta=90.00 gamma=120.00
Space group R-3m (No. 166, hexagonal axes)
Asymmetric unit:
Lu 0.0000 0.0000 0.2459 [6 per cell]
As 0.0000 0.0000 0.5000 [3 per cell]
Au 0.0000 0.0000 0.0000 [3 per cell]

Computed properties:
- Magnetization: 0.00 μB per formula unit
- DOS(E_F): 2.802 states/eV/f.u.
- E_form: -1032.9 meV/atom

---

2.
The following is a DFT calculation (GGA-PBE) of an optimized crystal structure of Y2CuNi12P3.

Unit cell a=8.4477 b=8.4477 c=11.6969 alpha=90.00 beta=90.00 gamma=120.00
Space group R-3m (No. 166, hexagonal axes)
Asymmetric unit:
Y 0.0000 0.0000 0.1610 [6 per cell]
Cu 0.0000 0.0000 0.5000 [3 per cell]
Ni 0.0082 0.5041 0.3845 [18 per cell]
Ni 0.0092 0.5046 0.1833 [18 per cell]
P 0.0000 0.5000 0.0000 [9 per cell]

Computed properties:
- Magnetization: 0.00 μB per formula unit
- DOS(E_F): 15.088 states/eV/f.u.
- E_form: -120.9 meV/atom

---

> What is the magnetization in the second record?

0.00 μB per formula unit

---

> What is the magnetization in the first record?

0.00 μB per formula unit